[1]
VASP calculation (GGA-PBE) on a relaxed structure of Gd2DyIn3Ni3.

a b c (Å): 3.836 7.450 7.450
angles (deg): 120.00 90.00 90.00
Fractional positions:
Gd: 0.000 0.206 0.794
Gd: 0.000 0.794 0.206
Dy: 0.000 0.618 0.618
In: 0.500 0.206 0.458
In: 0.500 0.458 0.206
In: 0.500 0.954 0.954
Ni: 0.000 0.206 0.206
Ni: 0.500 0.540 0.873
Ni: 0.500 0.873 0.540

For the theoretical density, the calculation gives 8.99 g cm⁻³. The space-group type is Amm2, No. 38. The total magnetic moment is 0.0 μB per formula unit. For the calculated total energy, the calculation gives -4.822 eV/atom.

[2]
VASP calculation (GGA-PBE) on a relaxed structure of GdDy2In3Ni3.

a b c (Å): 3.831 7.441 7.441
angles (deg): 119.98 90.00 90.00
Fractional positions:
Gd: 0.000 0.000 0.000
Dy: 0.000 0.175 0.588
Dy: 0.000 0.588 0.175
In: 0.500 0.336 0.336
In: 0.500 0.587 0.840
In: 0.500 0.840 0.587
Ni: 0.000 0.588 0.588
Ni: 0.500 0.254 0.921
Ni: 0.500 0.921 0.254

For the theoretical density, the calculation gives 9.06 g cm⁻³. The space-group type is Amm2, No. 38. The total magnetic moment is 0.0 μB per formula unit. For the calculated total energy, the calculation gives -4.818 eV/atom.

[3]
VASP calculation (GGA-PBE) on a relaxed structure of GdDyIn4Pd2.

a b c (Å): 7.596 5.715 5.715
angles (deg): 46.15 90.00 90.00
Fractional positions:
Gd: 0.000 0.000 0.000
Dy: 0.500 0.853 0.853
In: 0.201 0.289 0.289
In: 0.300 0.564 0.564
In: 0.700 0.564 0.564
In: 0.799 0.289 0.289
Pd: 0.000 0.715 0.715
Pd: 0.500 0.138 0.138

For the theoretical density, the calculation gives 9.21 g cm⁻³. The space-group type is Amm2, No. 38. The total magnetic moment is 0.0 μB per formula unit. For the calculated total energy, the calculation gives -4.468 eV/atom.

[4]
VASP calculation (GGA-PBE) on a relaxed structure of Gd2DyIn3PdPt2.

a b c (Å): 3.862 7.723 7.723
angles (deg): 119.87 90.00 90.00
Fractional positions:
Gd: 0.000 0.205 0.795
Gd: 0.000 0.795 0.205
Dy: 0.000 0.384 0.384
In: 0.500 0.053 0.053
In: 0.500 0.537 0.794
In: 0.500 0.794 0.537
Pd: 0.000 0.794 0.794
Pt: 0.500 0.130 0.461
Pt: 0.500 0.461 0.130

For the theoretical density, the calculation gives 10.96 g cm⁻³. The space-group type is Amm2, No. 38. The total magnetic moment is 0.0 μB per formula unit. For the calculated total energy, the calculation gives -5.335 eV/atom.

[5]
VASP calculation (GGA-PBE) on a relaxed structure of GdDyIn2Pt4.

a b c (Å): 4.592 4.592 9.035
angles (deg): 90.00 90.00 120.00
Fractional positions:
Gd: 0.000 0.000 0.000
Dy: 0.667 0.333 0.500
In: 0.333 0.667 0.251
In: 0.333 0.667 0.749
Pt: 0.000 0.000 0.343
Pt: 0.000 0.000 0.657
Pt: 0.667 0.333 0.160
Pt: 0.667 0.333 0.840

For the theoretical density, the calculation gives 13.38 g cm⁻³. The space-group type is P-6m2, No. 187. The total magnetic moment is 0.0 μB per formula unit. For the calculated total energy, the calculation gives -5.833 eV/atom.

[6]
VASP calculation (GGA-PBE) on a relaxed structure of GdDy2ScIn2.

a b c (Å): 5.292 5.292 6.681
angles (deg): 90.00 90.00 120.00
Fractional positions:
Gd: 0.000 0.000 0.000
Dy: 0.667 0.333 0.260
Dy: 0.667 0.333 0.740
Sc: 0.333 0.667 0.500
In: 0.000 0.000 0.500
In: 0.333 0.667 0.000

For the theoretical density, the calculation gives 7.76 g cm⁻³. The space-group type is P-6m2, No. 187. The total magnetic moment is 1.2 μB per formula unit. For the calculated total energy, the calculation gives -4.630 eV/atom.